Record 1
First-principles (PBE with a Hubbard U) data for a relaxed structure of Na2Li2WO6, as listed in Alexandria.

The structure in CIF format:
```
data_Na2Li2WO6
_chemical_formula_sum 'Na2 Li2 W1 O6'
_symmetry_space_group_name_H-M 'P -3 1 m'
_symmetry_Int_Tables_number 162
_symmetry_space_group_name_Hall '-P 3 2'
_cell_length_a 5.2395
_cell_length_b 5.2395
_cell_length_c 5.4445
_cell_angle_alpha 90.00
_cell_angle_beta 90.00
_cell_angle_gamma 120.00
loop_
_atom_site_label
_atom_site_type_symbol
_atom_site_fract_x
_atom_site_fract_y
_atom_site_fract_z
Na1 Na 0.3333 0.6667 0.0000
Li1 Li 0.3333 0.6667 0.5000
W1 W 0.0000 0.0000 0.5000
O1 O 0.0000 0.3079 0.7009
```

Properties
total magnetization = 2.00 Bohr magnetons per cell
final energy = -61.5 eV/cell

Record 2
First-principles (PBE with a Hubbard U) data for a relaxed structure of KMo5O13, as listed in Alexandria.

The structure in CIF format:
```
data_KMo5O13
_chemical_formula_sum 'K4 Mo20 O52'
_symmetry_space_group_name_H-M 'C m c m'
_symmetry_Int_Tables_number 63
_symmetry_space_group_name_Hall '-C 2c 2'
_cell_length_a 6.815
_cell_length_b 9.158
_cell_length_c 16.951
_cell_angle_alpha 90.00
_cell_angle_beta 90.00
_cell_angle_gamma 90.00
loop_
_atom_site_label
_atom_site_type_symbol
_atom_site_fract_x
_atom_site_fract_y
_atom_site_fract_z
K1 K 0.000 0.141 0.250
Mo1 Mo 0.000 0.000 0.000
Mo2 Mo 0.000 0.227 0.638
Mo3 Mo 0.000 0.382 0.072
O1 O 0.000 0.007 0.611
O2 O 0.000 0.183 0.750
O3 O 0.000 0.224 0.510
O4 O 0.000 0.426 0.638
O5 O 0.192 0.500 0.000
O6 O 0.209 0.301 0.130
```

Properties
total magnetization = 20.00 Bohr magnetons per cell
final energy = -529.9 eV/cell